(1)
# K2AlPb

A relaxed structure of K2AlPb (GGA-PBE, Alexandria via LeMat-Bulk).

```
K2AlPb
1.0
9.847 -0.014 -0.009
8.702 4.608 -0.009
8.702 2.155 4.073
Al K Pb
1 2 1
Direct
0.787 0.787 0.787
0.220 0.220 0.220
0.031 0.031 0.031
0.462 0.462 0.462
```

Properties
density of states at the Fermi level	2.05	states/eV/cell
V	185.7	Å³/cell
relative energy among the computed polymorphs	0.000	eV per atom
formation energy from the elements	10.4	meV/atom
size of the total moment	0.0	μB/cell

---

(2)
# KAl3Pb

A relaxed structure of KAl3Pb (GGA-PBE, Alexandria via LeMat-Bulk).

```
KAl3Pb
1.0
-1.549 3.170 4.381
-1.655 -4.616 2.755
5.148 -0.530 2.204
Al Pb K
3 1 1
Direct
0.000 0.000 0.500
0.000 0.500 0.000
0.500 0.000 0.000
0.500 0.500 0.500
0.000 0.000 0.000
```

Properties
density of states at the Fermi level	3.36	states/eV/cell
V	178.0	Å³/cell
relative energy among the computed polymorphs	0.647	eV per atom
formation energy from the elements	1358.6	meV/atom
size of the total moment	0.0	μB/cell

---

(3)
# K2AlPb

A relaxed structure of K2AlPb (GGA-PBE, Alexandria via LeMat-Bulk).

```
K2AlPb
1.0
-1.707 -4.341 4.766
0.639 -6.536 1.159
3.713 -0.900 2.962
Pb Al K
1 1 2
Direct
0.750 0.750 0.750
0.250 0.250 0.250
0.000 0.000 0.000
0.500 0.500 0.500
```

Properties
density of states at the Fermi level	2.93	states/eV/cell
V	133.7	Å³/cell
relative energy among the computed polymorphs	0.211	eV per atom
formation energy from the elements	221.6	meV/atom
size of the total moment	0.6	μB/cell

---

(4)
# K2Al2Pb

A relaxed structure of K2Al2Pb (GGA-PBE, Alexandria via LeMat-Bulk).

```
K2Al2Pb
1.0
-6.191 2.001 -3.632
-4.095 -1.920 5.922
0.520 5.493 2.140
K Al Pb
4 4 2
Direct
0.684 0.816 0.500
0.184 0.684 0.500
0.316 0.184 0.500
0.816 0.316 0.500
0.377 0.877 0.000
0.623 0.123 0.000
0.123 0.377 0.000
0.877 0.623 0.000
0.500 0.500 0.000
0.000 0.000 0.000
```

Properties
density of states at the Fermi level	7.85	states/eV/cell
V	328.6	Å³/cell
formation energy from the elements	149.7	meV/atom
size of the total moment	0.0	μB/cell

---

(5)
# KAlPb2

A relaxed structure of KAlPb2 (GGA-PBE, Alexandria via LeMat-Bulk).

```
KAlPb2
1.0
-4.415 2.057 -4.675
-6.278 1.132 2.210
6.562 1.584 0.069
Al Pb K
1 2 1
Direct
0.750 0.250 0.500
0.960 0.960 0.000
0.540 0.540 0.000
0.250 0.750 0.500
```

Properties
density of states at the Fermi level	2.19	states/eV/cell
V	127.0	Å³/cell
formation energy from the elements	119.8	meV/atom
size of the total moment	0.0	μB/cell

---

(6)
# K2AlPb

A relaxed structure of K2AlPb (GGA-PBE, Alexandria via LeMat-Bulk).

```
K2AlPb
1.0
4.947 0.000 0.000
0.000 4.129 0.180
0.000 1.733 7.352
Al K Pb
1 2 1
Direct
0.500 0.573 0.731
0.500 0.286 0.300
0.000 0.966 0.947
0.000 0.675 0.522
```

Properties
density of states at the Fermi level	3.23	states/eV/cell
V	148.6	Å³/cell
relative energy among the computed polymorphs	0.078	eV per atom
formation energy from the elements	88.3	meV/atom
size of the total moment	0.0	μB/cell

---

(7)
# K2AlPb

A relaxed structure of K2AlPb (GGA-PBE, Alexandria via LeMat-Bulk).

```
K2AlPb
1.0
3.620 0.000 0.000
0.000 5.758 0.000
0.000 0.000 6.459
Pb K Al
1 2 1
Direct
0.500 0.500 0.250
0.000 0.000 0.500
0.000 0.000 0.000
0.500 0.500 0.750
```

Properties
density of states at the Fermi level	2.68	states/eV/cell
V	134.6	Å³/cell
relative energy among the computed polymorphs	0.216	eV per atom
formation energy from the elements	226.2	meV/atom
size of the total moment	0.0	μB/cell

---

(8)
# KAl2Pb

A relaxed structure of KAl2Pb (GGA-PBE, Alexandria via LeMat-Bulk).

```
KAl2Pb
1.0
-2.935 2.722 -2.233
4.227 -0.386 -6.248
-3.943 -3.900 5.128
Al Pb K
2 1 1
Direct
0.962 0.028 0.931
0.308 0.703 0.607
0.721 0.285 0.439
0.509 0.484 0.024
```

Properties
density of states at the Fermi level	2.44	states/eV/cell
V	125.6	Å³/cell
formation energy from the elements	74.3	meV/atom
size of the total moment	0.0	μB/cell

---

(9)
# KAlPb2

A relaxed structure of KAlPb2 (GGA-PBE, Alexandria via LeMat-Bulk).

```
KAlPb2
1.0
4.950 0.000 0.000
0.000 3.592 0.030
0.000 1.552 7.249
K Pb Al
1 2 1
Direct
0.500 0.750 0.750
0.000 0.067 0.059
0.000 0.433 0.441
0.500 0.250 0.250
```

Properties
density of states at the Fermi level	1.34	states/eV/cell
V	128.7	Å³/cell
formation energy from the elements	60.3	meV/atom
size of the total moment	0.0	μB/cell

---

(10)
# KAlPb2

A relaxed structure of KAlPb2 (GGA-PBE, Alexandria via LeMat-Bulk).

```
KAlPb2
1.0
-3.056 2.337 0.254
-1.639 -1.817 -2.980
-3.606 -5.282 5.203
Pb Al K
2 1 1
Direct
0.000 0.000 0.060
0.000 0.000 0.440
0.500 0.500 0.250
0.500 0.500 0.750
```

Properties
density of states at the Fermi level	1.49	states/eV/cell
V	122.6	Å³/cell
formation energy from the elements	-3.3	meV/atom
size of the total moment	0.0	μB/cell

---

(11)
# KAl2Pb

A relaxed structure of KAl2Pb (GGA-PBE, Alexandria via LeMat-Bulk).

```
KAl2Pb
1.0
-2.969 -9.478 3.836
-0.506 -10.533 1.474
0.484 -9.516 4.752
Pb Al K
1 2 1
Direct
0.750 0.750 0.750
0.010 0.010 0.010
0.490 0.490 0.490
0.250 0.250 0.250
```

Properties
density of states at the Fermi level	3.09	states/eV/cell
V	115.4	Å³/cell
formation energy from the elements	378.7	meV/atom
size of the total moment	0.0	μB/cell

---

(12)
# KAlPb2

A relaxed structure of KAlPb2 (GGA-PBE, Alexandria via LeMat-Bulk).

```
KAlPb2
1.0
5.897 -0.050 0.000
1.536 5.693 0.000
-3.716 -2.822 3.606
K Al Pb
1 1 2
Direct
0.750 0.250 0.500
0.500 0.500 0.000
0.250 0.750 0.500
0.000 0.000 0.000
```

Properties
density of states at the Fermi level	1.60	states/eV/cell
V	121.3	Å³/cell
formation energy from the elements	152.4	meV/atom
size of the total moment	0.0	μB/cell